{"formula": "Tb3Cu3Pb4", "functional": "GGA-PBE", "state": "optimized geometry", "lattice_angstrom": [[8.022, 0.000, -2.836], [-4.011, 6.947, -2.836], [0.000, 0.000, 8.509]], "species": ["Tb", "Tb", "Tb", "Tb", "Tb", "Tb", "Cu", "Cu", "Cu", "Cu", "Cu", "Cu", "Pb", "Pb", "Pb", "Pb", "Pb", "Pb", "Pb", "Pb"], "fractional_positions": [[0.125, 0.375, 0.250], [0.750, 0.625, 0.375], [0.375, 0.125, 0.750], [0.625, 0.750, 0.875], [0.250, 0.875, 0.125], [0.875, 0.250, 0.625], [0.750, 0.125, 0.875], [0.375, 0.250, 0.125], [0.125, 0.750, 0.375], [0.875, 0.625, 0.750], [0.625, 0.875, 0.250], [0.250, 0.375, 0.625], [0.339, 0.500, 0.000], [0.500, 0.839, 0.500], [0.661, 0.161, 0.161], [0.000, 0.000, 0.339], [0.161, 0.661, 0.661], [0.000, 0.000, 0.839], [0.839, 0.500, 0.000], [0.500, 0.339, 0.500]], "energy_ev_per_atom": -4.405, "m_tot_mub_per_fu": 0.0}